Below is a relaxed LiNiAgF4 crystal, with properties calculated at the PBE with a Hubbard U level.

Results
**Total moment**: 1.9 μB/f.u.
**Crystal system**: orthorhombic
**VASP energy**: -4.140 eV/atom

Lattice parameters (Å, degrees): 5.8978 6.3931 9.7731 90.00 90.00 90.00
Closest atoms and distances in Å follow each position.
Space group Imma (No. 74)
One atom of each set of equivalent atoms:
Li (0.2500, 0.2500, 0.2500) [4 per cell]  4 F 2.02
Ni (0.0000, 0.0000, 0.0000) [4 per cell]  6 F 2.02-2.06
Ag (0.0000, 0.2500, 0.6644) [4 per cell]  4 F 2.28-2.33
F (0.0000, 0.0452, 0.2046) [8 per cell]  1 Ni 2.02, 2 Li 2.02
F (0.2209, 0.2500, 0.0049) [8 per cell]  2 Ni 2.06